First-principles (GGA-PBE) data for an optimized crystal structure of CaDyTmTl, as listed in Alexandria.

a = 5.5354 Å, b = 5.5354 Å, c = 5.5354 Å
α = 60.00°, β = 60.00°, γ = 60.00°
Closest atoms and distances in Å follow each position.
Atoms (fractional coordinates):
Ca 0.0000 0.0000 0.0000  4 Tl 3.39, 4 Tm 3.39
Dy 0.5000 0.5000 0.5000  4 Tl 3.39, 4 Tm 3.39
Tm 0.2500 0.2500 0.2500  4 Dy 3.39, 4 Ca 3.39
Tl 0.7500 0.7500 0.7500  4 Ca 3.39, 4 Dy 3.39

Values from the calculation:
Its space group is F-43m (216). For the total energy, the calculation gives -13.43 eV/f.u. The density of states at the Fermi level comes out at 4.8 states/eV per cell. The calculation puts the formation energy at 1.7 meV/atom.